Density functional theory data (PBE-GGA) for PrCdIn2 after structural relaxation.

Output
Crystal system: tetragonal

a b c (Å): 4.6702 4.7329 4.7329
angles (deg): 90.00 90.00 90.00
Positions (direct):
Pr 0.5000 0.5000 0.5000
Cd 0.5000 0.0000 0.0000
In 0.0000 0.0000 0.5000
In 0.0000 0.5000 0.0000



Density functional theory data (PBE-GGA) for Pr12Cd6In after structural relaxation.

Output
Crystal system: trigonal

a b c (Å): 9.2821 9.2821 9.2821
angles (deg): 111.08 111.08 111.08
Positions (direct):
Pr 0.1067 0.1742 0.7393
Pr 0.8933 0.8258 0.2607
Cd 0.6440 0.9485 0.4256
Pr 0.6790 0.5311 0.8008
Pr 0.5311 0.8008 0.6790
Pr 0.8258 0.2607 0.8933
Cd 0.3560 0.0515 0.5744
Pr 0.1742 0.7393 0.1067
Pr 0.3210 0.4689 0.1992
Cd 0.0515 0.5744 0.3560
Pr 0.7393 0.1067 0.1742
In 0.0000 0.0000 0.0000
Cd 0.9485 0.4256 0.6440
Pr 0.1992 0.3210 0.4689
Pr 0.8008 0.6790 0.5311
Cd 0.5744 0.3560 0.0515
Cd 0.4256 0.6440 0.9485
Pr 0.4689 0.1992 0.3210
Pr 0.2607 0.8933 0.8258



Density functional theory data (PBE-GGA) for Pr6CdIn after structural relaxation.

Output
Crystal system: tetragonal

a b c (Å): 5.0253 5.0253 10.0162
angles (deg): 90.00 90.00 90.00
Positions (direct):
Pr 0.5000 0.0000 0.7488
Pr 0.5000 0.5000 0.5000
Pr 0.5000 0.5000 0.0000
Pr 0.0000 0.5000 0.7488
Pr 0.5000 0.0000 0.2512
Pr 0.0000 0.5000 0.2512
Cd 0.0000 0.0000 0.0000
In 0.0000 0.0000 0.5000



Density functional theory data (PBE-GGA) for Pr7CdIn3 after structural relaxation.

Output
Crystal system: monoclinic

a b c (Å): 5.9782 8.3629 8.3629
angles (deg): 91.62 111.06 111.06
Positions (direct):
Pr 0.8212 0.8222 0.8222
In 0.0000 0.7660 0.2340
In 0.5000 0.0000 0.0000
Pr 0.3296 0.5997 0.0584
In 0.0000 0.2340 0.7660
Pr 0.6704 0.9416 0.4003
Pr 0.1788 0.1778 0.1778
Cd 0.5000 0.5000 0.5000
Pr 0.0000 0.5000 0.5000
Pr 0.3296 0.0584 0.5997
Pr 0.6704 0.4003 0.9416



Density functional theory data (PBE-GGA) for Pr4CdIn2 after structural relaxation.

Output
Crystal system: monoclinic

a b c (Å): 7.6381 6.7067 9.8024
angles (deg): 90.00 117.06 90.00
Positions (direct):
In 0.7921 0.7500 0.0643
Pr 0.5582 0.0067 0.2202
Cd 0.2109 0.7500 0.2102
Pr 0.4418 0.5067 0.7798
Pr 0.0118 0.7500 0.8367
Cd 0.7891 0.2500 0.7898
Pr 0.9882 0.2500 0.1633
Pr 0.4418 0.9933 0.7798
Pr 0.9618 0.2500 0.5483
Pr 0.5582 0.4933 0.2202
In 0.5808 0.7500 0.5296
Pr 0.0382 0.7500 0.4517
In 0.2079 0.2500 0.9357
In 0.4192 0.2500 0.4704



Density functional theory data (PBE-GGA) for Pr2Cd3In2 after structural relaxation.

Output
Crystal system: orthorhombic

a b c (Å): 3.5554 4.7508 11.5262
angles (deg): 101.89 90.00 90.00
Positions (direct):
Cd 0.0000 0.0000 0.0000
In 0.5000 0.7129 0.4258
Cd 0.5000 0.5675 0.1349
Pr 0.0000 0.1515 0.3029
Pr 0.0000 0.8485 0.6971
In 0.5000 0.2871 0.5742
Cd 0.5000 0.4325 0.8651



Density functional theory data (PBE-GGA) for Pr2Cd2In after structural relaxation.

Output
Crystal system: monoclinic

a b c (Å): 5.0715 6.2720 10.2216
angles (deg): 96.04 75.64 66.15
Positions (direct):
In 0.5557 0.1905 0.6980
Pr 0.8902 0.2855 0.9340
Cd 0.0445 0.3254 0.5856
In 0.4443 0.8095 0.3020
Cd 0.9555 0.6746 0.4144
Cd 0.6525 0.8304 0.8647
Pr 0.1098 0.7145 0.0660
Cd 0.3475 0.1696 0.1353
Pr 0.2966 0.7583 0.6486
Pr 0.7034 0.2417 0.3514



Density functional theory data (PBE-GGA) for Pr7Cd3In after structural relaxation.

Output
Crystal system: monoclinic

a b c (Å): 5.9700 8.3150 8.3150
angles (deg): 89.66 111.09 111.09
Positions (direct):
Pr 0.3279 0.5991 0.0578
Pr 0.3279 0.0578 0.5991
Cd 0.5000 0.0000 0.0000
In 0.5000 0.5000 0.5000
Cd 0.0000 0.2292 0.7708
Cd 0.0000 0.7708 0.2292
Pr 0.6721 0.9422 0.4009
Pr 0.8169 0.8180 0.8180
Pr 0.6721 0.4009 0.9422
Pr 0.1831 0.1820 0.1820
Pr 0.0000 0.5000 0.5000



Density functional theory data (PBE-GGA) for Pr6CdIn after structural relaxation.

Output
Crystal system: triclinic

a b c (Å): 9.1727 9.1794 6.3890
angles (deg): 44.15 44.17 59.95
Positions (direct):
Pr 0.9775 0.4645 0.3075
Pr 0.4644 0.2505 0.3037
Pr 0.5356 0.7495 0.6963
Pr 0.7493 0.0232 0.6932
Pr 0.2507 0.9768 0.3068
Pr 0.0225 0.5355 0.6925
Cd 0.0000 0.0000 0.0000
In 0.5000 0.5000 0.5000



Density functional theory data (PBE-GGA) for Pr2Cd5In after structural relaxation.

Output
Crystal system: orthorhombic

a b c (Å): 4.7576 9.2214 9.9564
angles (deg): 90.00 90.00 104.95
Positions (direct):
Pr 0.8029 0.6057 0.7500
Cd 0.3544 0.7088 0.9707
In 0.4522 0.9044 0.7500
Cd 0.3925 0.7849 0.2500
Pr 0.1971 0.3943 0.2500
Cd 0.1919 0.3838 0.6047
Cd 0.8081 0.6162 0.1047
Cd 0.6456 0.2912 0.4707
Pr 0.0000 0.0000 0.0000
Pr 0.0000 0.0000 0.5000
Cd 0.6075 0.2151 0.7500
In 0.5478 0.0956 0.2500
Cd 0.6456 0.2912 0.0293
Cd 0.8081 0.6162 0.3953
Cd 0.3544 0.7088 0.5293
Cd 0.1919 0.3838 0.8953



Number 1: energy -3.217 eV per atom, mass density 7.67 g/cm³, E_form -0.424 eV per atom. Number 2: energy -3.620 eV per atom, mass density 7.15 g/cm³, E_form -0.169 eV per atom. Number 3: energy -4.239 eV per atom, mass density 7.04 g/cm³, E_form -0.197 eV per atom. Number 4: energy -4.065 eV per atom, mass density 6.69 g/cm³, E_form -0.193 eV per atom. Number 5: energy -3.852 eV per atom, mass density 6.73 g/cm³, E_form -0.208 eV per atom. Number 6: energy -2.810 eV per atom, mass density 7.40 g/cm³, E_form -0.270 eV per atom. Number 7: energy -3.176 eV per atom, mass density 7.37 g/cm³, E_form -0.350 eV per atom. Number 8: energy -3.651 eV per atom, mass density 6.71 g/cm³, E_form -0.111 eV per atom. Number 9: energy -4.182 eV per atom, mass density 6.82 g/cm³, E_form -0.140 eV per atom. Number 10: energy -2.406 eV per atom, mass density 7.54 g/cm³, E_form -0.297 eV per atom.